Entry 1:
AcYPa2O8, relaxed, DFT PBE-GGA; formation energy without anion corrections = -83.81 kcal/mol of atoms; magnetic moment = 0.000 Bohr magnetons per cell; DOS(E_F) = 0.000 states/eV/cell
1.0
-3.221 2.195 -3.955
-3.042 -4.645 -0.100
-0.162 3.299 5.861
Ac Y Pa O
1 1 2 8
Direct
0.750 0.250 0.500
0.000 0.000 0.000
0.500 0.500 0.000
0.250 0.750 0.500
0.879 0.850 0.242
0.363 0.392 0.242
0.607 0.636 0.757
0.150 0.121 0.757
0.879 0.393 0.243
0.364 0.850 0.243
0.150 0.637 0.758
0.608 0.121 0.758

=====

Entry 2:
ScHg2Os, relaxed, DFT PBE-GGA; magnetic moment = 0.000 Bohr magnetons per cell; ΔE_f = 0.17 eV per atom; ΔE to the lowest computed polymorph = 77.8 meV per atom; DOS(E_F) = 1.778 states/eV/cell
1.0
-7.989 4.470 2.576
-9.222 2.210 0.705
-8.591 1.578 3.759
Hg Os Sc
2 1 1
Direct
0.004 0.004 0.004
0.243 0.243 0.243
0.493 0.493 0.493
0.760 0.760 0.760